Density functional theory data (GGA-PBE) for a geometry-optimized CaPrNdEr structure.

Geometry as POSCAR:
```
CaPrNdEr
1.0
0.000 4.136 4.136
4.136 0.000 4.136
4.136 4.136 0.000
Ca Pr Nd Er
1 1 1 1
Direct
0.000 0.000 0.000
0.250 0.250 0.250
0.750 0.750 0.750
0.500 0.500 0.500
```

Output
V = 141.5 Å³ per cell
DOS at the Fermi energy = 6.3 states/eV per cell
total DFT energy (no corrections) = -3.9165 eV per atom
SG = No. 216